Material: CaPrPb
Method: DFT, PBE-GGA
State: optimized geometry

a b c (Å): 3.7177 3.7177 14.7367
angles (deg): 90.00 90.00 90.00
Last column: nearest neighbours and their distance in Å.
Space group I4mm (No. 107)
Unique sites:
Ca  0.0000  0.0000  0.0000 (multiplicity 2)  4 Pb 3.41, 4 Ca 3.72
Pr  0.0000  0.0000  0.2948 (multiplicity 2)  4 Pb 3.41, 4 Pr 3.72
Pb  0.0000  0.0000  0.6469 (multiplicity 2)  4 Ca 3.41, 4 Pr 3.41, 4 Pb 3.72

Calculated values
V = 33.95 A^3/atom
ΔH_f (0 K) = -0.328 eV/atom
D(E_F) = 0.913 states/eV per atom